Entry 1:
# SiBiNF2 (SCAN, single point on PBEsol structure)
data_SiBiNF2
_cell_length_a 4.4408
_cell_length_b 4.4408
_cell_length_c 4.4814
_cell_angle_alpha 90.00
_cell_angle_beta 90.00
_cell_angle_gamma 90.00
_symmetry_space_group_name_H-M 'P 4/m m m'
_symmetry_Int_Tables_number 123
_symmetry_space_group_name_Hall '-P 4 2'
loop_
_atom_site_label
_atom_site_type_symbol
_atom_site_fract_x
_atom_site_fract_y
_atom_site_fract_z
_atom_site_occupancy
Si1 Si 0.0000 0.0000 0.0000 1
Bi1 Bi 0.5000 0.5000 0.5000 1
N1 N 0.5000 0.5000 0.0000 1
F1 F 0.0000 0.5000 0.5000 1
# **Formation energy (no corrections)**: 3 kJ/mol of formula units
# **E_tot**: -20.987 eV per atom
# **DOS at the Fermi energy**: 0.34 states/eV per atom

Entry 2:
# CoSbOs2 (SCAN, single point on PBEsol structure)
data_CoSbOs2
_cell_length_a 8.7920
_cell_length_b 2.8767
_cell_length_c 4.6855
_cell_angle_alpha 90.00
_cell_angle_beta 100.43
_cell_angle_gamma 90.00
_symmetry_space_group_name_H-M 'C 1 m 1'
_symmetry_Int_Tables_number 8
loop_
_symmetry_equiv_pos_as_xyz
'x,y,z'
'x,-y,z'
'x+1/2,y+1/2,z'
'x+1/2,-y+1/2,z'
loop_
_atom_site_label
_atom_site_type_symbol
_atom_site_fract_x
_atom_site_fract_y
_atom_site_fract_z
_atom_site_occupancy
Co1 Co 0.0000 0.0000 0.0000 1
Sb1 Sb 0.2504 0.5000 0.2378 1
Os1 Os 0.0082 0.5000 0.5491 1
Os2 Os 0.2537 0.0000 0.7554 1
# **Formation energy (no corrections)**: 210 kJ/mol of formula units
# **Relative energy among the computed polymorphs**: 0.000 eV per atom
# **E_tot**: -49.036 eV per atom
# **DOS at the Fermi energy**: 0.53 states/eV per atom

Entry 3:
# LaFeB2 (SCAN, single point on PBEsol structure)
data_LaFeB2
_cell_length_a 4.4195
_cell_length_b 4.4195
_cell_length_c 12.2237
_cell_angle_alpha 90.00
_cell_angle_beta 90.00
_cell_angle_gamma 90.00
_symmetry_space_group_name_H-M 'I 41/a m d'
_symmetry_Int_Tables_number 141
loop_
_symmetry_equiv_pos_as_xyz
'x,y,z'
'-x,-y,-z'
'-y+1/4,x+3/4,z+1/4'
'y+1/4,-x+3/4,-z+1/4'
'-x+1/2,-y,z+1/2'
'x+1/2,y,-z+1/2'
'y+1/4,-x+1/4,z+3/4'
'-y+1/4,x+1/4,-z+3/4'
'x,-y,-z'
'-x,y,z'
'-y+1/4,-x+1/4,-z+3/4'
'y+1/4,x+1/4,z+3/4'
'-x+1/2,y,-z+1/2'
'x+1/2,-y,z+1/2'
'y+1/4,x+3/4,-z+1/4'
'-y+1/4,-x+3/4,z+1/4'
'x+1/2,y+1/2,z+1/2'
'-x+1/2,-y+1/2,-z+1/2'
'-y+3/4,x+1/4,z+3/4'
'y+3/4,-x+1/4,-z+3/4'
'-x,-y+1/2,z'
'x,y+1/2,-z'
'y+3/4,-x+3/4,z+1/4'
'-y+3/4,x+3/4,-z+1/4'
'x+1/2,-y+1/2,-z+1/2'
'-x+1/2,y+1/2,z+1/2'
'-y+3/4,-x+3/4,-z+1/4'
'y+3/4,x+3/4,z+1/4'
'-x,y+1/2,-z'
'x,-y+1/2,z'
'y+3/4,x+1/4,-z+3/4'
'-y+3/4,-x+1/4,z+3/4'
loop_
_atom_site_label
_atom_site_type_symbol
_atom_site_fract_x
_atom_site_fract_y
_atom_site_fract_z
_atom_site_occupancy
La1 La 0.0000 0.2500 0.3750 1
Fe1 Fe 0.0000 0.2500 0.8750 1
B1 B 0.0000 0.0000 0.0000 1
# **Energy of formation from the pure elements**: -0.143 eV/atom
# **E_tot**: -19.167 eV per atom
# **DOS at the Fermi energy**: 0.64 states/eV per atom

Entry 4:
# Li2MnP2O7 (SCAN, single point on PBEsol structure)
data_Li2MnP2O7
_cell_length_a 5.0221
_cell_length_b 7.0243
_cell_length_c 8.4751
_cell_angle_alpha 94.73
_cell_angle_beta 93.02
_cell_angle_gamma 109.05
_symmetry_space_group_name_H-M 'P 1'
_symmetry_Int_Tables_number 1
loop_
_symmetry_equiv_pos_as_xyz
'x,y,z'
loop_
_atom_site_label
_atom_site_type_symbol
_atom_site_fract_x
_atom_site_fract_y
_atom_site_fract_z
_atom_site_occupancy
Li1 Li 0.0000 0.0000 0.0000 1
Li2 Li 0.0358 0.6017 0.7267 1
Li3 Li 0.3826 0.0341 0.4761 1
Li4 Li 0.5599 0.2873 0.1725 1
Mn1 Mn 0.4821 0.1718 0.8148 1
Mn2 Mn 0.9705 0.6646 0.3263 1
P1 P 0.0986 0.4317 0.0105 1
P2 P 0.4261 0.4760 0.5247 1
P3 P 0.5234 0.8457 0.1188 1
P4 P 0.8363 0.8867 0.6389 1
O1 O 0.0503 0.9290 0.7844 1
O2 O 0.1773 0.5551 0.5225 1
O3 O 0.2765 0.2898 0.0065 1
O4 O 0.3048 0.6602 0.9981 1
O5 O 0.3783 0.8695 0.2690 1
O6 O 0.3794 0.2848 0.6075 1
O7 O 0.5487 0.4600 0.3647 1
O8 O 0.5734 0.0301 0.0240 1
O9 O 0.6147 0.9894 0.6499 1
O10 O 0.6774 0.6436 0.6447 1
O11 O 0.7986 0.8002 0.1396 1
O12 O 0.8956 0.3920 0.8617 1
O13 O 0.9567 0.4258 0.1647 1
O14 O 0.9769 0.9069 0.4837 1
# **Formation energy (no corrections)**: -2890 kJ/mol of formula units
# **Relative energy among the computed polymorphs**: 0.014 eV per atom
# **E_tot**: -9.784 eV per atom
# **DOS at the Fermi energy**: 0.00 states/eV per atom